DFT (GGA-PBE) results for a relaxed Pm2TmTc crystal.

```
Pm2TmTc
1.0
7.418 0.000 0.000
0.000 9.439 0.000
0.000 0.000 6.359
Pm Tm Tc
8 4 4
Cartesian
1.318 0.603 1.056
1.318 4.116 1.056
2.391 5.322 4.235
2.391 8.835 4.235
5.027 0.603 2.124
5.027 4.116 2.124
6.101 5.322 5.303
6.101 8.835 5.303
0.345 2.360 4.048
3.365 7.079 0.868
4.054 2.360 5.491
7.074 7.079 2.311
0.816 7.079 6.145
2.893 2.360 2.966
4.525 7.079 3.394
6.603 2.360 0.214
```

Output
Its distance to the lowest polymorph of the same formula is 0 meV/atom. The value obtained for the uncorrected energy is -98.0 eV per cell. Its energy relative to the elements is -38.1 meV/atom.